No. 1
PBE-GGA Tb2Cu2Se, relaxed; energy relative to the elements, uncorrected = -4.26 eV/f.u.; mass density = 8109 kg/m3
1.0
-3.817 0.648 1.356
0.670 -0.780 -3.971
1.534 -7.385 1.728
Tb Cu Se
2 2 1
Direct
0.829 0.416 0.244
0.171 0.584 0.756
0.336 0.168 0.505
0.664 0.832 0.495
0.000 0.000 0.000



No. 2
PBE-GGA Pd3Se2Br2, relaxed; energy relative to the elements, uncorrected = -1.27 eV/f.u.; mass density = 6645 kg/m3
1.0
-2.388 -2.436 -0.981
5.125 -3.704 -3.278
0.993 -1.055 6.625
Pd Se Br
3 2 2
Direct
0.000 0.000 0.000
0.764 0.289 0.529
0.236 0.711 0.471
0.859 0.679 0.718
0.141 0.321 0.282
0.609 0.807 0.218
0.391 0.193 0.782



No. 3
PBE-GGA BeIrPb3, relaxed; formation enthalpy at 0 K = 0.870 eV/atom; mass density = 11464 kg/m3
1.0
-3.191 1.853 -3.256
1.923 -2.860 -3.513
-3.215 -3.550 1.130
Pb Be Ir
3 1 1
Direct
0.000 0.500 0.000
0.000 0.000 0.500
0.500 0.000 0.000
0.000 0.000 0.000
0.500 0.500 0.500



No. 4
PBE-GGA NbO3, relaxed; energy relative to the elements, uncorrected = -7.16 eV/f.u.; mass density = 6188 kg/m3
1.0
-3.172 -0.987 -0.031
2.318 -1.937 2.519
-1.372 4.268 4.545
Nb O
2 6
Direct
0.731 0.462 0.750
0.269 0.538 0.250
0.432 0.865 0.750
0.568 0.135 0.250
0.146 0.292 0.944
0.854 0.708 0.056
0.854 0.708 0.444
0.146 0.292 0.556



No. 5
PBE-GGA BaCaCd2, relaxed; formation enthalpy at 0 K = -0.189 eV/atom; mass density = 4738 kg/m3
1.0
4.092 0.000 0.000
0.000 4.092 0.000
0.000 0.000 8.417
Ca Ba Cd
1 1 2
Direct
0.500 0.500 0.825
0.000 0.000 0.452
0.000 0.000 0.017
0.500 0.500 0.206



No. 6
PBE-GGA Nb2PdRh, relaxed; formation enthalpy at 0 K = 0.074 eV/atom; mass density = 9624 kg/m3
1.0
-2.776 0.199 -0.542
-1.157 -1.564 -2.064
-3.080 -7.626 5.557
Nb Rh Pd
2 1 1
Direct
0.089 0.089 0.733
0.911 0.911 0.267
0.500 0.500 0.500
0.000 0.000 0.000



No. 7
PBE-GGA Ac5Tb, relaxed; formation enthalpy at 0 K = 0.038 eV/atom; mass density = 8379 kg/m3
1.0
-1.731 3.167 1.585
-6.702 -5.501 -1.230
2.652 -2.084 7.059
Ac Tb
5 1
Direct
0.032 0.064 0.052
0.694 0.389 0.389
0.357 0.714 0.726
0.359 0.717 0.216
0.030 0.061 0.562
0.694 0.389 0.889



No. 8
PBE-GGA LiGa2Pt2, relaxed; formation enthalpy at 0 K = -0.551 eV/atom; mass density = 9787 kg/m3
1.0
4.522 -0.127 0.000
-0.902 4.433 0.000
0.000 0.000 9.135
Li Ga Pt
2 4 4
Direct
0.797 0.797 0.250
0.203 0.203 0.750
0.691 0.691 0.612
0.309 0.309 0.112
0.691 0.691 0.888
0.309 0.309 0.388
0.214 0.786 0.000
0.786 0.214 0.500
0.214 0.786 0.500
0.786 0.214 0.000



No. 9
PBE-GGA Rb2SrLiAg, relaxed; formation enthalpy at 0 K = 0.264 eV/atom; mass density = 2459 kg/m3
1.0
-1.870 1.469 6.570
3.446 -3.427 1.747
4.857 5.017 0.260
Sr Rb Ag Li
1 2 1 1
Direct
0.500 0.500 0.500
0.000 0.000 0.500
0.500 0.000 0.000
0.000 0.500 0.000
0.000 0.000 0.000



No. 10
PBE-GGA UOsRu3, relaxed; formation enthalpy at 0 K = 0.177 eV/atom; mass density = 14267 kg/m3
1.0
-0.302 3.199 3.159
-6.892 -1.610 0.971
4.943 -4.324 1.638
U Os Ru
2 2 6
Direct
0.000 0.500 0.000
0.500 0.000 0.000
0.250 0.074 0.500
0.750 0.926 0.500
0.109 0.234 0.219
0.391 0.516 0.781
0.609 0.484 0.219
0.891 0.766 0.781
0.250 0.702 0.500
0.750 0.298 0.500



No. 11
PBE-GGA BaSn2PH, relaxed; mass density = 3910 kg/m3; uncorrected energy = -3.458 eV per atom
1.0
5.197 0.000 0.000
0.000 6.396 0.000
0.000 0.000 5.197
P Ba H Sn
1 1 1 2
Direct
0.000 0.000 0.000
0.000 0.500 0.000
0.500 0.500 0.500
0.000 0.000 0.500
0.500 0.000 0.000



No. 12
PBE-GGA ZrNiP2, relaxed; formation enthalpy at 0 K = -0.638 eV/atom; mass density = 5586 kg/m3
1.0
-4.785 2.673 -3.486
-4.392 -3.028 3.706
-4.634 2.160 1.966
Ni Zr P
2 2 4
Direct
0.500 0.500 0.000
0.250 0.750 0.500
0.000 0.000 0.000
0.750 0.250 0.500
0.564 0.125 0.250
0.186 0.625 0.250
0.375 0.436 0.750
0.875 0.814 0.750



No. 13
PBE-GGA Li9LaZn3, relaxed; formation enthalpy at 0 K = -0.081 eV/atom; mass density = 2684 kg/m3
1.0
4.993 0.164 2.027
2.590 6.866 1.052
-0.035 0.082 7.250
Li La Zn
9 1 3
Direct
0.725 0.779 0.773
0.275 0.221 0.227
0.502 0.221 0.773
0.498 0.779 0.227
0.629 0.345 0.358
0.371 0.655 0.642
0.013 0.655 0.358
0.987 0.345 0.642
0.000 0.500 0.000
0.000 0.000 0.000
0.500 0.500 0.000
0.000 0.000 0.500
0.500 0.000 0.500



No. 14
PBE-GGA AlCr2Cu, relaxed; formation enthalpy at 0 K = 0.107 eV/atom; mass density = 6481 kg/m3
1.0
4.407 -0.002 0.001
3.690 2.410 0.001
0.430 0.128 4.690
Cr Al Cu
2 1 1
Direct
0.004 0.004 0.023
0.243 0.243 0.229
0.753 0.753 0.734
0.499 0.499 0.514



No. 15
PBE-GGA Be3CuS, relaxed; energy relative to the elements, uncorrected = 3.71 eV/f.u.; mass density = 3168 kg/m3
1.0
4.006 0.000 0.000
0.000 4.006 0.000
0.000 0.000 4.006
Be S Cu
3 1 1
Direct
0.000 0.500 0.000
0.000 0.000 0.500
0.500 0.000 0.000
0.000 0.000 0.000
0.500 0.500 0.500



No. 16
PBE-GGA Pr6P2PdSe3, relaxed; energy relative to the elements, uncorrected = -18.95 eV/f.u.; mass density = 6375 kg/m3
1.0
4.214 0.000 0.000
0.000 8.560 0.289
-2.107 -2.486 8.948
Pr P Pd Se
6 2 1 3
Direct
0.332 0.903 0.664
0.671 0.574 0.342
0.668 0.097 0.336
0.005 0.249 0.010
0.995 0.751 0.990
0.329 0.426 0.658
0.833 0.666 0.666
0.167 0.334 0.334
0.500 0.000 0.000
0.500 0.500 0.000
0.834 0.167 0.668
0.166 0.833 0.332



No. 17
PBE-GGA Tm5BiPt, relaxed; formation enthalpy at 0 K = -0.431 eV/atom; mass density = 10145 kg/m3
1.0
6.526 0.539 -0.241
2.581 6.018 -0.241
3.198 2.302 10.622
Tm Bi Pt
10 2 2
Direct
0.949 0.609 0.139
0.217 0.532 0.541
0.609 0.949 0.639
0.961 0.039 0.250
0.468 0.783 0.959
0.532 0.217 0.041
0.039 0.961 0.750
0.391 0.051 0.361
0.783 0.468 0.459
0.051 0.391 0.861
0.458 0.542 0.250
0.542 0.458 0.750
0.000 0.000 0.000
0.000 0.000 0.500



No. 18
PBE-GGA Ac5PmSm6, relaxed; formation enthalpy at 0 K = 0.039 eV/atom; mass density = 7907 kg/m3
1.0
-5.072 -1.875 -0.167
4.836 -5.860 6.545
-0.649 9.216 3.899
Ac Sm Pm
5 6 1
Direct
0.500 0.163 0.837
0.000 0.333 0.667
0.500 0.500 0.500
0.000 0.667 0.333
0.500 0.837 0.163
0.248 0.083 0.413
0.752 0.587 0.917
0.747 0.247 0.247
0.253 0.753 0.753
0.248 0.413 0.083
0.752 0.917 0.587
0.000 0.000 0.000



No. 19
PBE-GGA ThIn3, relaxed; formation enthalpy at 0 K = -0.171 eV/atom; mass density = 8644 kg/m3
1.0
3.428 0.000 0.000
0.000 5.888 0.000
-1.714 -2.944 5.487
Th In
1 3
Direct
0.000 0.003 0.000
0.247 0.580 0.493
0.500 0.497 0.000
0.753 0.087 0.507



No. 20
PBE-GGA CaGePtO6, relaxed; energy relative to the elements, uncorrected = -12.49 eV/f.u.; mass density = 5765 kg/m3
1.0
-2.924 -1.786 -3.837
0.371 -2.645 4.397
-7.971 5.064 3.719
Ca Ge Pt O
2 2 2 12
Direct
0.000 0.000 0.000
0.000 0.000 0.500
0.667 0.333 0.250
0.333 0.667 0.750
0.333 0.667 0.250
0.667 0.333 0.750
0.641 0.632 0.146
0.991 0.359 0.146
0.359 0.991 0.646
0.009 0.641 0.854
0.368 0.359 0.354
0.991 0.632 0.354
0.632 0.991 0.854
0.641 0.009 0.354
0.009 0.368 0.646
0.368 0.009 0.146
0.632 0.641 0.646
0.359 0.368 0.854



No. 21
PBE-GGA Tb2SmTe5, relaxed; energy relative to the elements, uncorrected = -9.60 eV/f.u.; mass density = 7704 kg/m3
1.0
8.155 0.000 0.000
0.000 8.155 0.000
-4.078 -4.078 7.170
Tb Sm Te
4 2 10
Direct
0.151 0.349 0.000
0.651 0.151 0.000
0.349 0.849 0.000
0.849 0.651 0.000
0.750 0.750 0.500
0.250 0.250 0.500
0.510 0.693 0.703
0.807 0.990 0.297
0.000 0.000 0.000
0.500 0.500 0.000
0.193 0.010 0.703
0.693 0.193 0.703
0.010 0.510 0.703
0.307 0.807 0.297
0.990 0.490 0.297
0.490 0.307 0.297



No. 22
PBE-GGA NdZrPd2, relaxed; formation enthalpy at 0 K = -0.584 eV/atom; mass density = 8823 kg/m3
1.0
-0.876 -3.035 1.003
4.778 -1.543 -0.495
0.921 1.315 4.784
Nd Zr Pd
1 1 2
Direct
0.500 0.000 0.000
0.500 0.500 0.500
0.000 0.000 0.500
0.000 0.500 0.000



No. 23
PBE-GGA NaSnPb, relaxed; formation enthalpy at 0 K = -0.050 eV/atom; mass density = 6008 kg/m3
1.0
-2.492 0.806 -1.956
-2.752 -4.318 1.727
-5.724 3.852 8.877
Na Sn Pb
2 2 2
Direct
0.826 0.060 0.497
0.825 0.343 0.936
0.326 0.484 0.651
0.325 0.919 0.782
0.327 0.624 0.368
0.324 0.780 0.065



No. 24
PBE-GGA Sc2CdRhO, relaxed; energy relative to the elements, uncorrected = -5.83 eV/f.u.; mass density = 6332 kg/m3
1.0
-3.363 -1.216 2.226
2.780 -2.738 2.704
0.592 3.219 2.652
Sc Rh O Cd
2 1 1 1
Direct
0.000 0.000 0.500
0.500 0.000 0.000
0.500 0.500 0.500
0.000 0.000 0.000
0.000 0.500 0.000